# Ba6LiPd2

An optimized crystal structure of Ba6LiPd2 (GGA-PBE, Alexandria).

```
data_Ba6LiPd2
_chemical_formula_sum 'Ba6 Li1 Pd2'
_cell_length_a 8.2026
_cell_length_b 8.2026
_cell_length_c 9.0294
_cell_angle_alpha 62.99
_cell_angle_beta 62.99
_cell_angle_gamma 60.00
_symmetry_space_group_name_H-M 'P 1'
_symmetry_Int_Tables_number 1
_symmetry_space_group_name_Hall 'P 1'
loop_
_atom_site_label
_atom_site_type_symbol
_atom_site_fract_x
_atom_site_fract_y
_atom_site_fract_z
_atom_site_occupancy
Ba1 Ba 0.5311 0.2380 0.3535 1
Ba2 Ba 0.2380 0.8775 0.3535 1
Ba3 Ba 0.8775 0.5311 0.3535 1
Ba4 Ba 0.3492 0.6931 0.8609 1
Ba5 Ba 0.6931 0.0969 0.8609 1
Ba6 Ba 0.0969 0.3492 0.8609 1
Li1 Li 0.7882 0.7882 0.6354 1
Pd1 Pd 0.2912 0.2912 0.1263 1
Pd2 Pd 0.4693 0.4693 0.5922 1
```

## Properties
Mass density in g/cm³: 3.869
DFT formation energy in eV/atom: -0.23
VASP energy in eV per atom: -2.878
Calculated volume in Å³ per cell: 448
SG: R3 (146)